This record from Alexandria via LeMat-Bulk describes a relaxed structure of LiAc2Zn3Ag12. The functional is PBE.

As for the calculated volume: 22.43 Å³/atom. Its calculated density is 8.03 g cm⁻³. The total DFT energy (no corrections) comes out at -2.628 eV/atom.

Structure (CIF):
```
data_LiAc2Zn3Ag12
_chemical_formula_sum 'Li3 Ac6 Zn9 Ag36'
_symmetry_space_group_name_H-M 'R -3 m'
_symmetry_Int_Tables_number 166
_symmetry_space_group_name_Hall '-R 3 2"'
_cell_length_a 7.0375
_cell_length_b 7.0375
_cell_length_c 28.2344
_cell_angle_alpha 90.00
_cell_angle_beta 90.00
_cell_angle_gamma 120.00
loop_
_atom_site_label
_atom_site_type_symbol
_atom_site_fract_x
_atom_site_fract_y
_atom_site_fract_z
Li1 Li 0.0000 0.0000 0.0000
Ac1 Ac 0.0000 0.0000 0.3490
Zn1 Zn 0.0000 0.5000 0.5000
Ag1 Ag 0.0504 0.5252 0.5988
Ag2 Ag 0.0675 0.5338 0.1209
```